VASP calculation (PBE) on crystalline Tb3NdHo4Se8 at its relaxed geometry.

Properties
DFT total energy (eV per atom): -5.8025
Formation energy without anion corrections (eV/atom): -1.75

Unit cell a=8.1749 b=8.1749 c=20.1202 alpha=90.00 beta=90.00 gamma=120.00
With the nearest neighbours (Å) after each atom.
Space group R-3m (No. 166, hexagonal axes)
Asymmetric unit:
Tb: 0.0000 0.5000 0.0000 x9  6 Se 2.91
Nd: 0.0000 0.0000 0.0000 x3  6 Se 2.96
Ho: 0.0000 0.0000 0.5000 x3  6 Se 2.83
Ho: 0.0000 0.5000 0.5000 x9  6 Se 2.88
Se: 0.0000 0.0000 0.2486 x6  3 Ho 2.88, 3 Tb 2.91
Se: 0.0054 0.5027 0.2473 x18  3 Ho 2.83-2.88, 2 Tb 2.91, 1 Nd 2.96


VASP calculation (PBE) on crystalline LaAgGe3 at its relaxed geometry.

Properties
DFT total energy (eV per atom): -4.1789
Formation energy from the elements (eV/atom): 0.147

Unit cell a=5.0188 b=5.0188 c=5.0188 alpha=90.00 beta=90.00 gamma=90.00
With the nearest neighbours (Å) after each atom.
Space group Pm-3m (No. 221)
Asymmetric unit:
La: 0.0000 0.0000 0.0000 x1  12 Ge 3.55
Ag: 0.5000 0.5000 0.5000 x1  6 Ge 2.51
Ge: 0.0000 0.5000 0.5000 x3  2 Ag 2.51


VASP calculation (PBE) on crystalline Ag2PbSe at its relaxed geometry.

Properties
DFT total energy (eV per atom): -3.1805
Formation energy without anion corrections (eV/atom): 0.04

Unit cell a=4.2036 b=4.2036 c=18.7112 alpha=90.00 beta=90.00 gamma=120.00
With the nearest neighbours (Å) after each atom.
Space group R-3m (No. 166, hexagonal axes)
Asymmetric unit:
Ag: 0.0000 0.0000 0.2372 x6  3 Se 2.76, 3 Pb 3.02
Pb: 0.0000 0.0000 0.0000 x3  6 Ag 3.02
Se: 0.0000 0.0000 0.5000 x3  6 Ag 2.76


VASP calculation (PBE) on crystalline Sm3MgAl2 at its relaxed geometry.

Properties
DFT total energy (eV per atom): -4.1547
Formation energy from the elements (eV/atom): -0.282

Unit cell a=3.6957 b=3.6957 c=11.4777 alpha=90.00 beta=90.00 gamma=90.00
With the nearest neighbours (Å) after each atom.
Space group P4/mmm (No. 123)
Asymmetric unit:
Sm: 0.0000 0.0000 0.0000 x1  8 Al 3.22
Sm: 0.0000 0.0000 0.3202 x2  4 Al 3.17, 4 Mg 3.33
Mg: 0.5000 0.5000 0.5000 x1  8 Sm 3.33, 4 Mg 3.70
Al: 0.5000 0.5000 0.1640 x2  8 Sm 3.17-3.22


VASP calculation (PBE) on crystalline Tl2NiBr at its relaxed geometry.

Properties
DFT total energy (eV per atom): -3.0227
Formation energy without anion corrections (eV/atom): 0.02

Unit cell a=3.8072 b=3.8072 c=24.4212 alpha=90.00 beta=90.00 gamma=120.00
With the nearest neighbours (Å) after each atom.
Space group R3m (No. 160, hexagonal axes)
Asymmetric unit:
Tl: 0.0000 0.0000 0.0000 x3  3 Ni 2.66
Tl: 0.0000 0.0000 0.2287 x3  3 Tl 3.37, 3 Br 3.55
Ni: 0.0000 0.0000 0.7279 x3  3 Br 2.55, 3 Tl 2.66
Br: 0.0000 0.0000 0.4477 x3  3 Ni 2.55


VASP calculation (PBE) on crystalline Sc6As5Cl at its relaxed geometry.

Properties
DFT total energy (eV per atom): -6.6662
Formation energy without anion corrections (eV/atom): -1.41

Unit cell a=6.7244 b=11.6296 c=6.7061 alpha=90.00 beta=109.43 gamma=90.00
With the nearest neighbours (Å) after each atom.
Space group C2/m (No. 12)
Asymmetric unit:
Sc: 0.2359 0.0000 0.2567 x4  5 As 2.63-2.73, 1 Cl 2.85
Sc: 0.2382 0.1751 0.7409 x8  5 As 2.66-2.76, 1 Cl 2.87
As: 0.0000 0.0000 0.5000 x2  6 Sc 2.63-2.76
As: 0.0000 0.1677 0.0000 x4  6 Sc 2.73
As: 0.0000 0.3391 0.5000 x4  6 Sc 2.66-2.76
Cl: 0.0000 0.5000 0.0000 x2  6 Sc 2.85-2.87